1.
YMgMn2, relaxed, DFT GGA-PBEsol; DOS at the Fermi energy = 3.397 states/eV/f.u.; total moment = 6.3 μB/cell; uncorrected energy = -26.42 eV/cell; space-group type = P4/mmm, No. 123; ΔE_f = 0.411 eV per atom
1.0
-0.142 -2.947 -1.408
3.262 -0.198 0.087
-0.347 -2.971 6.252
Mn Y Mg
2 1 1
Direct
0.000 0.000 0.722
0.000 0.000 0.278
0.500 0.500 0.000
0.500 0.500 0.500


2.
NaTeAsSe2, relaxed, DFT GGA-PBEsol; DOS at the Fermi energy = 3.864 states/eV/f.u.; total moment = 0.8 μB/cell; uncorrected energy = -16.54 eV/cell; uncorrected formation energy = 1.19 eV per formula unit; space-group type = P4/mmm, No. 123
1.0
5.318 0.000 0.000
0.000 5.378 0.000
0.000 0.000 5.378
Se As Na Te
2 1 1 1
Direct
0.000 0.000 0.500
0.000 0.500 0.000
0.500 0.000 0.000
0.500 0.500 0.500
0.000 0.000 0.000


3.
CdTcP3, relaxed, DFT GGA-PBEsol; DOS at the Fermi energy = 2.696 states/eV/f.u.; total moment = 0.0 μB/cell; uncorrected energy = -27.43 eV/cell; space-group type = Pm-3m, No. 221; ΔE_f = 0.481 eV per atom
1.0
-0.685 4.486 0.739
-4.322 -0.410 -1.515
-1.413 -0.921 4.278
P Cd Tc
3 1 1
Direct
0.500 0.000 0.000
0.000 0.000 0.500
0.000 0.500 0.000
0.500 0.500 0.500
0.000 0.000 0.000


4.
ScCuP2, relaxed, DFT GGA-PBEsol; DOS at the Fermi energy = 1.293 states/eV/f.u.; total moment = 0.0 μB/cell; uncorrected energy = -25.41 eV/cell; space-group type = Cm, No. 8; ΔE_f = -0.721 eV per atom
1.0
-0.406 -2.233 -2.854
3.621 -0.349 -0.242
-1.776 -2.450 4.424
Cu Sc P
1 1 2
Direct
0.580 0.188 0.376
0.315 0.439 0.878
0.659 0.821 0.641
0.946 0.052 0.104


5.
NbH3I, relaxed, DFT GGA-PBEsol; DOS at the Fermi energy = 2.738 states/eV/f.u.; total moment = 0.0 μB/cell; uncorrected energy = -20.46 eV/cell; space-group type = Pm-3m, No. 221; offset from the most stable computed form = 0.0 kJ/mol of atoms
1.0
3.835 0.000 0.000
0.000 3.835 0.000
0.000 0.000 3.835
Nb H I
1 3 1
Direct
0.000 0.000 0.000
0.000 0.500 0.000
0.500 0.000 0.000
0.000 0.000 0.500
0.500 0.500 0.500


6.
Y3Si2ClO8, relaxed, DFT GGA-PBEsol; DOS at the Fermi energy = 0.000 states/eV/f.u.; total moment = 0.0 μB/cell; uncorrected energy = -486.43 eV/cell; uncorrected formation energy = -45.65 eV per formula unit; space-group type = Pnma, No. 62
1.0
-3.406 -5.033 -0.967
3.880 -3.475 4.420
-10.753 4.746 13.172
O Cl Y Si
32 4 12 8
Direct
0.221 0.531 0.676
0.968 0.830 0.881
0.945 0.197 0.595
0.032 0.170 0.381
0.555 0.697 0.595
0.032 0.170 0.119
0.708 0.989 0.470
0.792 0.489 0.470
0.292 0.011 0.970
0.279 0.031 0.676
0.468 0.670 0.119
0.279 0.031 0.824
0.555 0.697 0.905
0.445 0.303 0.095
0.208 0.511 0.530
0.721 0.969 0.324
0.292 0.011 0.530
0.779 0.469 0.324
0.055 0.803 0.095
0.208 0.511 0.970
0.721 0.969 0.176
0.055 0.803 0.405
0.468 0.670 0.381
0.445 0.303 0.405
0.708 0.989 0.030
0.968 0.830 0.619
0.779 0.469 0.176
0.532 0.330 0.619
0.221 0.531 0.824
0.792 0.489 0.030
0.532 0.330 0.881
0.945 0.197 0.905
0.758 0.546 0.750
0.242 0.454 0.250
0.258 0.954 0.250
0.742 0.046 0.750
0.373 0.987 0.409
0.627 0.013 0.909
0.614 0.708 0.250
0.873 0.513 0.909
0.373 0.987 0.091
0.886 0.208 0.250
0.114 0.792 0.750
0.127 0.487 0.409
0.386 0.292 0.750
0.873 0.513 0.591
0.627 0.013 0.591
0.127 0.487 0.091
0.878 0.978 0.400
0.622 0.478 0.100
0.378 0.522 0.900
0.122 0.022 0.600
0.622 0.478 0.400
0.878 0.978 0.100
0.122 0.022 0.900
0.378 0.522 0.600


7.
ZrTeOs, relaxed, DFT GGA-PBEsol; DOS at the Fermi energy = 1.679 states/eV/f.u.; total moment = 0.0 μB/cell; uncorrected energy = -24.36 eV/cell; uncorrected formation energy = 0.47 eV per formula unit; space-group type = P3m1, No. 156
1.0
3.300 0.000 0.000
-1.650 2.858 0.000
0.000 0.000 6.532
Te Os Zr
1 1 1
Direct
0.333 0.667 0.673
0.000 0.000 0.028
0.667 0.333 0.300


8.
AlIn2Ag, relaxed, DFT GGA-PBEsol; DOS at the Fermi energy = 1.503 states/eV/f.u.; total moment = 0.0 μB/cell; uncorrected energy = -13.00 eV/cell; space-group type = Pmmm, No. 47; ΔE_f = 0.091 eV per atom
1.0
3.096 0.000 0.059
0.000 4.151 0.000
-0.124 0.000 6.295
Ag In Al
1 2 1
Direct
0.500 0.500 0.000
0.001 0.000 0.248
0.999 0.000 0.752
0.500 0.500 0.500


9.
LaCr2Re, relaxed, DFT GGA-PBEsol; DOS at the Fermi energy = 4.689 states/eV/f.u.; total moment = 0.1 μB/cell; uncorrected energy = -35.75 eV/cell; space-group type = Immm, No. 71; offset from the most stable computed form = 3.5 kJ/mol of atoms; ΔE_f = 0.854 eV per atom
1.0
3.063 0.000 0.000
0.000 5.062 0.000
-1.531 -2.531 4.182
Re La Cr
1 1 2
Direct
0.000 0.500 0.000
0.500 0.000 0.000
0.265 0.265 0.529
0.735 0.735 0.471


10.
TlOs3Cl, relaxed, DFT GGA-PBEsol; DOS at the Fermi energy = 6.142 states/eV/f.u.; total moment = 7.3 μB/cell; uncorrected energy = -23.67 eV/cell; uncorrected formation energy = 17.62 eV per formula unit; space-group type = Pm-3m, No. 221
1.0
-0.224 -3.309 -3.756
4.912 -0.870 0.474
-0.965 -3.661 3.282
Os Cl Tl
3 1 1
Direct
0.000 0.000 0.500
0.500 0.000 0.000
0.000 0.500 0.000
0.500 0.500 0.500
0.000 0.000 0.000


11.
BeSb2Te, relaxed, DFT GGA-PBEsol; DOS at the Fermi energy = 1.964 states/eV/f.u.; total moment = 0.0 μB/cell; uncorrected energy = -14.38 eV/cell; uncorrected formation energy = 2.26 eV per formula unit; space-group type = I4/mmm, No. 139; offset from the most stable computed form = 35.0 kJ/mol of atoms
1.0
4.152 0.000 0.000
0.000 4.152 0.000
-2.076 -2.076 5.552
Te Sb Be
1 2 1
Direct
0.500 0.500 0.000
0.750 0.250 0.500
0.250 0.750 0.500
0.000 0.000 0.000


12.
Sc2PIrPb, relaxed, DFT GGA-PBEsol; DOS at the Fermi energy = 4.953 states/eV/f.u.; total moment = 0.0 μB/cell; uncorrected energy = -25.84 eV/cell; space-group type = P4/mmm, No. 123; ΔE_f = 1.398 eV per atom
1.0
-3.187 -1.887 -2.966
3.310 -3.978 -1.026
-2.079 -2.758 3.988
Pb Sc P Ir
1 2 1 1
Direct
0.000 0.000 0.000
0.000 0.500 0.000
0.000 0.000 0.500
0.500 0.000 0.000
0.500 0.500 0.500


13.
KCu2H20N3Cl8O4, relaxed, DFT GGA-PBEsol; total moment = 2.0 μB/cell; uncorrected energy = -169.47 eV/cell; space-group type = P-4, No. 81
1.0
-6.427 -2.053 -3.229
1.990 -7.185 0.606
-3.403 -0.352 6.999
H O Cu Cl N K
20 4 2 8 3 1
Direct
0.922 0.576 0.577
0.423 0.584 0.423
0.078 0.424 0.577
0.575 0.414 0.077
0.078 0.424 0.934
0.922 0.576 0.934
0.424 0.922 0.066
0.922 0.917 0.923
0.576 0.078 0.423
0.577 0.416 0.423
0.917 0.078 0.077
0.584 0.577 0.577
0.414 0.425 0.923
0.576 0.078 0.066
0.083 0.922 0.077
0.424 0.922 0.423
0.586 0.575 0.923
0.425 0.586 0.077
0.078 0.083 0.923
0.416 0.423 0.577
0.000 0.500 0.503
0.500 0.000 0.497
0.500 0.000 0.992
0.000 0.500 0.008
0.500 0.000 0.744
0.000 0.500 0.256
0.717 0.222 0.246
0.281 0.794 0.743
0.222 0.283 0.754
0.778 0.717 0.754
0.206 0.281 0.257
0.794 0.719 0.257
0.719 0.206 0.743
0.283 0.778 0.246
0.500 0.500 0.500
0.500 0.500 0.000
0.000 0.000 0.000
0.000 0.000 0.500


14.
KHg3, relaxed, DFT GGA-PBEsol; DOS at the Fermi energy = 1.668 states/eV/f.u.; total moment = 0.0 μB/cell; uncorrected energy = -3.55 eV/cell; space-group type = Pmmm, No. 47; ΔE_f = -0.180 eV per atom
1.0
3.507 0.000 0.104
0.000 4.197 0.000
-0.222 0.000 7.402
Hg K
3 1
Direct
0.000 0.000 0.714
0.000 0.000 0.286
0.500 0.500 0.500
0.500 0.500 0.000


15.
Be2AlRe, relaxed, DFT GGA-PBEsol; DOS at the Fermi energy = 1.996 states/eV/f.u.; total moment = 0.0 μB/cell; uncorrected energy = -24.41 eV/cell; space-group type = Cmmm, No. 65; ΔE_f = 0.254 eV per atom
1.0
2.589 0.026 0.000
-0.755 2.476 0.000
0.000 0.000 7.679
Re Be Al
1 2 1
Direct
0.500 0.500 0.500
0.000 0.000 0.264
0.000 0.000 0.736
0.500 0.500 0.000


16.
BeMoBr, relaxed, DFT GGA-PBEsol; DOS at the Fermi energy = 1.923 states/eV/f.u.; total moment = 0.0 μB/cell; uncorrected energy = -16.19 eV/cell; uncorrected formation energy = 1.45 eV per formula unit; space-group type = P3m1, No. 156; offset from the most stable computed form = 0.0 kJ/mol of atoms
1.0
3.020 0.000 0.000
-1.510 2.616 0.000
0.000 0.000 5.885
Br Be Mo
1 1 1
Direct
0.333 0.667 0.650
0.000 0.000 0.025
0.667 0.333 0.326


17.
Tl3In, relaxed, DFT GGA-PBEsol; DOS at the Fermi energy = 1.454 states/eV/f.u.; total moment = 0.0 μB/cell; uncorrected energy = -21.66 eV/cell; space-group type = Pmmn, No. 59; ΔE_f = 0.011 eV per atom
1.0
5.373 0.000 0.000
0.000 6.138 0.000
0.000 0.000 6.702
In Tl
2 6
Direct
0.500 0.662 0.500
0.000 0.338 0.000
0.500 0.160 0.749
0.000 0.840 0.249
0.500 0.649 0.000
0.500 0.160 0.251
0.000 0.840 0.751
0.000 0.351 0.500


18.
CaTa2Pb, relaxed, DFT GGA-PBEsol; DOS at the Fermi energy = 3.252 states/eV/f.u.; total moment = 0.0 μB/cell; uncorrected energy = -30.05 eV/cell; space-group type = Cmm2, No. 35; ΔE_f = 0.296 eV per atom
1.0
3.112 -0.004 0.000
-1.015 2.942 0.000
0.000 0.000 9.695
Ta Pb Ca
2 1 1
Direct
0.000 0.000 0.984
0.500 0.500 0.778
0.500 0.500 0.228
0.000 0.000 0.510


19.
BeOs2PtO, relaxed, DFT GGA-PBEsol; DOS at the Fermi energy = 5.741 states/eV/f.u.; total moment = 0.0 μB/cell; uncorrected energy = -32.70 eV/cell; uncorrected formation energy = 7.95 eV per formula unit; space-group type = P4/mmm, No. 123
1.0
-0.837 -0.154 3.898
-1.833 -3.632 -0.537
3.569 -1.904 0.692
O Pt Os Be
1 1 2 1
Direct
0.500 0.500 0.500
0.500 0.000 0.000
0.000 0.000 0.500
0.000 0.500 0.000
0.000 0.000 0.000


20.
BaTi2Sb2O, relaxed, DFT GGA-PBEsol; DOS at the Fermi energy = 3.824 states/eV/f.u.; total moment = 0.0 μB/cell; uncorrected energy = -41.67 eV/cell; uncorrected formation energy = -8.51 eV per formula unit; space-group type = P4/mmm, No. 123
1.0
4.056 0.000 0.000
0.000 4.056 0.000
0.000 0.000 8.152
Sb Ti O Ba
2 2 1 1
Direct
0.500 0.500 0.746
0.500 0.500 0.254
0.500 0.000 0.500
0.000 0.500 0.500
0.000 0.000 0.500
0.000 0.000 0.000